[1]
This record from Alexandria via LeMat-Bulk describes crystalline Cs4Sm3TiSe8 at its relaxed geometry. The functional is PBE-GGA.

The structure in CIF format:
```
data_Cs4Sm3TiSe8
_chemical_formula_sum 'Cs4 Sm3 Ti1 Se8'
_cell_length_a 9.696
_cell_length_b 9.696
_cell_length_c 9.696
_cell_angle_alpha 52.05
_cell_angle_beta 52.05
_cell_angle_gamma 52.05
_space_group_name_H-M_alt 'P 1'
_space_group_IT_number 1
loop_
_space_group_symop_operation_xyz
'x,y,z'
loop_
_atom_site_label
_atom_site_type_symbol
_atom_site_fract_x
_atom_site_fract_y
_atom_site_fract_z
_atom_site_occupancy
Cs1 Cs 0.000 0.000 0.000 1
Cs2 Cs 0.000 0.500 0.500 1
Cs3 Cs 0.500 0.000 0.500 1
Cs4 Cs 0.500 0.500 0.000 1
Sm1 Sm 0.000 0.000 0.500 1
Sm2 Sm 0.000 0.500 0.000 1
Sm3 Sm 0.500 0.000 0.000 1
Ti1 Ti 0.500 0.500 0.500 1
Se1 Se 0.231 0.231 0.231 1
Se2 Se 0.249 0.716 0.716 1
Se3 Se 0.284 0.284 0.751 1
Se4 Se 0.284 0.751 0.284 1
Se5 Se 0.716 0.249 0.716 1
Se6 Se 0.716 0.716 0.249 1
Se7 Se 0.751 0.284 0.284 1
Se8 Se 0.769 0.769 0.769 1
```

Properties
M_tot: 1.00 μB/f.u.
VASP energy: -4.876 eV/atom
space-group type: R-3m, No. 166

***

[2]
This record from Alexandria via LeMat-Bulk describes crystalline Nd2DyHoMg at its relaxed geometry. The functional is PBE-GGA.

The structure in CIF format:
```
data_Nd2DyHoMg
_chemical_formula_sum 'Nd4 Dy2 Ho2 Mg2'
_cell_length_a 5.908
_cell_length_b 7.489
_cell_length_c 7.286
_cell_angle_alpha 90.00
_cell_angle_beta 90.00
_cell_angle_gamma 90.00
_space_group_name_H-M_alt 'P 1'
_space_group_IT_number 1
loop_
_space_group_symop_operation_xyz
'x,y,z'
loop_
_atom_site_label
_atom_site_type_symbol
_atom_site_fract_x
_atom_site_fract_y
_atom_site_fract_z
_atom_site_occupancy
Nd1 Nd 0.250 0.215 0.191 1
Nd2 Nd 0.250 0.785 0.191 1
Nd3 Nd 0.750 0.215 0.809 1
Nd4 Nd 0.750 0.785 0.809 1
Dy1 Dy 0.250 0.000 0.649 1
Dy2 Dy 0.750 0.000 0.351 1
Ho1 Ho 0.250 0.500 0.873 1
Ho2 Ho 0.750 0.500 0.127 1
Mg1 Mg 0.000 0.500 0.500 1
Mg2 Mg 0.500 0.500 0.500 1
```

Properties
M_tot: 0.00 μB/f.u.
energy of formation from the pure elements: 16 kJ per mole of atoms
space-group type: Pmma, No. 51

***

[3]
This record from Alexandria via LeMat-Bulk describes crystalline Sm2Dy5HoSc at its relaxed geometry. The functional is PBE-GGA.

The structure in CIF format:
```
data_Sm2Dy5HoSc
_chemical_formula_sum 'Sm4 Dy10 Ho2 Sc2'
_cell_length_a 10.376
_cell_length_b 10.376
_cell_length_c 10.350
_cell_angle_alpha 90.00
_cell_angle_beta 90.00
_cell_angle_gamma 149.07
_space_group_name_H-M_alt 'P 1'
_space_group_IT_number 1
loop_
_space_group_symop_operation_xyz
'x,y,z'
loop_
_atom_site_label
_atom_site_type_symbol
_atom_site_fract_x
_atom_site_fract_y
_atom_site_fract_z
_atom_site_occupancy
Sm1 Sm 0.113 0.887 0.500 1
Sm2 Sm 0.115 0.885 0.922 1
Sm3 Sm 0.885 0.115 0.422 1
Sm4 Sm 0.887 0.113 0.000 1
Dy1 Dy 0.016 0.984 0.203 1
Dy2 Dy 0.275 0.725 0.507 1
Dy3 Dy 0.299 0.701 0.890 1
Dy4 Dy 0.375 0.625 0.207 1
Dy5 Dy 0.483 0.517 0.928 1
Dy6 Dy 0.517 0.483 0.428 1
Dy7 Dy 0.625 0.375 0.707 1
Dy8 Dy 0.701 0.299 0.390 1
Dy9 Dy 0.725 0.275 0.007 1
Dy10 Dy 0.984 0.016 0.703 1
Ho1 Ho 0.408 0.592 0.645 1
Ho2 Ho 0.592 0.408 0.145 1
Sc1 Sc 0.195 0.805 0.201 1
Sc2 Sc 0.805 0.195 0.701 1
```

Properties
M_tot: 0.00 μB/f.u.
energy of formation from the pure elements: 15 kJ per mole of atoms
space-group type: Cmc2_1, No. 36

***

[4]
This record from Alexandria via LeMat-Bulk describes crystalline Si4IrSe at its relaxed geometry. The functional is PBE-GGA.

The structure in CIF format:
```
data_Si4IrSe
_chemical_formula_sum 'Si4 Ir1 Se1'
_cell_length_a 5.114
_cell_length_b 5.114
_cell_length_c 5.114
_cell_angle_alpha 60.00
_cell_angle_beta 60.00
_cell_angle_gamma 60.00
_space_group_name_H-M_alt 'P 1'
_space_group_IT_number 1
loop_
_space_group_symop_operation_xyz
'x,y,z'
loop_
_atom_site_label
_atom_site_type_symbol
_atom_site_fract_x
_atom_site_fract_y
_atom_site_fract_z
_atom_site_occupancy
Si1 Si 0.125 0.125 0.125 1
Si2 Si 0.125 0.125 0.625 1
Si3 Si 0.125 0.625 0.125 1
Si4 Si 0.625 0.125 0.125 1
Ir1 Ir 0.750 0.750 0.750 1
Se1 Se 0.500 0.500 0.500 1
```

Properties
M_tot: 0.00 μB/f.u.
VASP energy: -4.944 eV/atom
space-group type: F-43m, No. 216

***

[5]
This record from Alexandria via LeMat-Bulk describes crystalline La5Si2O at its relaxed geometry. The functional is PBE-GGA.

The structure in CIF format:
```
data_La5Si2O
_chemical_formula_sum 'La10 Si4 O2'
_cell_length_a 6.983
_cell_length_b 6.983
_cell_length_c 13.189
_cell_angle_alpha 90.00
_cell_angle_beta 90.00
_cell_angle_gamma 130.19
_space_group_name_H-M_alt 'P 1'
_space_group_IT_number 1
loop_
_space_group_symop_operation_xyz
'x,y,z'
loop_
_atom_site_label
_atom_site_type_symbol
_atom_site_fract_x
_atom_site_fract_y
_atom_site_fract_z
_atom_site_occupancy
La1 La 0.056 0.944 0.632 1
La2 La 0.056 0.944 0.868 1
La3 La 0.290 0.710 0.250 1
La4 La 0.341 0.659 0.597 1
La5 La 0.341 0.659 0.903 1
La6 La 0.659 0.341 0.097 1
La7 La 0.659 0.341 0.403 1
La8 La 0.710 0.290 0.750 1
La9 La 0.944 0.056 0.132 1
La10 La 0.944 0.056 0.368 1
Si1 Si 0.170 0.830 0.062 1
Si2 Si 0.170 0.830 0.438 1
Si3 Si 0.830 0.170 0.562 1
Si4 Si 0.830 0.170 0.938 1
O1 O 0.224 0.776 0.750 1
O2 O 0.776 0.224 0.250 1
```

Properties
M_tot: 0.11 μB/f.u.
VASP energy: -5.914 eV/atom
space-group type: Cmcm, No. 63

***

[6]
This record from Alexandria via LeMat-Bulk describes crystalline Ba2InAuO4 at its relaxed geometry. The functional is PBE-GGA.

The structure in CIF format:
```
data_Ba2InAuO4
_chemical_formula_sum 'Ba2 In1 Au1 O4'
_cell_length_a 5.865
_cell_length_b 5.865
_cell_length_c 5.865
_cell_angle_alpha 111.22
_cell_angle_beta 111.22
_cell_angle_gamma 106.04
_space_group_name_H-M_alt 'P 1'
_space_group_IT_number 1
loop_
_space_group_symop_operation_xyz
'x,y,z'
loop_
_atom_site_label
_atom_site_type_symbol
_atom_site_fract_x
_atom_site_fract_y
_atom_site_fract_z
_atom_site_occupancy
Ba1 Ba 0.000 0.000 0.000 1
Ba2 Ba 0.750 0.250 0.500 1
In1 In 0.250 0.750 0.500 1
Au1 Au 0.500 0.500 0.000 1
O1 O 0.255 0.733 0.137 1
O2 O 0.267 0.404 0.521 1
O3 O 0.596 0.117 0.863 1
O4 O 0.883 0.745 0.479 1
```

Properties
M_tot: 0.00 μB/f.u.
VASP energy: -5.244 eV/atom
space-group type: I-4, No. 82

***

[7]
This record from Alexandria via LeMat-Bulk describes crystalline Mn2CuMoN at its relaxed geometry. The functional is PBE-GGA.

The structure in CIF format:
```
data_Mn2CuMoN
_chemical_formula_sum 'Mn2 Cu1 Mo1 N1'
_cell_length_a 4.596
_cell_length_b 4.596
_cell_length_c 4.714
_cell_angle_alpha 90.00
_cell_angle_beta 90.00
_cell_angle_gamma 90.00
_space_group_name_H-M_alt 'P 1'
_space_group_IT_number 1
loop_
_space_group_symop_operation_xyz
'x,y,z'
loop_
_atom_site_label
_atom_site_type_symbol
_atom_site_fract_x
_atom_site_fract_y
_atom_site_fract_z
_atom_site_occupancy
Mn1 Mn 0.000 0.500 0.000 1
Mn2 Mn 0.500 0.000 0.000 1
Cu1 Cu 0.000 0.000 0.500 1
Mo1 Mo 0.000 0.000 0.000 1
N1 N 0.500 0.500 0.500 1
```

Properties
M_tot: 3.29 μB/f.u.
relative energy among the computed polymorphs: 1138 kJ/mol of formula units
space-group type: P4/mmm, No. 123

***

[8]
This record from Alexandria via LeMat-Bulk describes crystalline Sr2Si3Au5 at its relaxed geometry. The functional is PBE-GGA.

The structure in CIF format:
```
data_Sr2Si3Au5
_chemical_formula_sum 'Sr2 Si3 Au5'
_cell_length_a 4.436
_cell_length_b 4.436
_cell_length_c 10.907
_cell_angle_alpha 90.00
_cell_angle_beta 90.00
_cell_angle_gamma 90.00
_space_group_name_H-M_alt 'P 1'
_space_group_IT_number 1
loop_
_space_group_symop_operation_xyz
'x,y,z'
loop_
_atom_site_label
_atom_site_type_symbol
_atom_site_fract_x
_atom_site_fract_y
_atom_site_fract_z
_atom_site_occupancy
Sr1 Sr 0.000 0.500 0.249 1
Sr2 Sr 0.500 0.000 0.751 1
Si1 Si 0.000 0.500 0.616 1
Si2 Si 0.500 0.000 0.384 1
Si3 Si 0.500 0.500 0.500 1
Au1 Au 0.000 0.000 0.000 1
Au2 Au 0.000 0.000 0.500 1
Au3 Au 0.000 0.500 0.836 1
Au4 Au 0.500 0.000 0.164 1
Au5 Au 0.500 0.500 0.000 1
```

Properties
M_tot: 0.00 μB/f.u.
relative energy among the computed polymorphs: 76 kJ/mol of formula units
space-group type: P-4m2, No. 115

***

[9]
This record from Alexandria via LeMat-Bulk describes crystalline HfNiPd at its relaxed geometry. The functional is PBE-GGA.

The structure in CIF format:
```
data_HfNiPd
_chemical_formula_sum 'Hf2 Ni2 Pd2'
_cell_length_a 4.019
_cell_length_b 6.647
_cell_length_c 6.647
_cell_angle_alpha 32.04
_cell_angle_beta 90.00
_cell_angle_gamma 90.00
_space_group_name_H-M_alt 'P 1'
_space_group_IT_number 1
loop_
_space_group_symop_operation_xyz
'x,y,z'
loop_
_atom_site_label
_atom_site_type_symbol
_atom_site_fract_x
_atom_site_fract_y
_atom_site_fract_z
_atom_site_occupancy
Hf1 Hf 0.000 0.000 0.000 1
Hf2 Hf 0.500 0.202 0.202 1
Ni1 Ni 0.500 0.522 0.522 1
Ni2 Ni 0.500 0.860 0.860 1
Pd1 Pd 0.000 0.348 0.348 1
Pd2 Pd 0.000 0.671 0.671 1
```

Properties
M_tot: 0.00 μB/f.u.
energy of formation from the pure elements: -58 kJ per mole of atoms
space-group type: Amm2, No. 38

***

[10]
This record from Alexandria via LeMat-Bulk describes crystalline NpReN at its relaxed geometry. The functional is PBE-GGA.

The structure in CIF format:
```
data_NpReN
_chemical_formula_sum 'Np1 Re1 N1'
_cell_length_a 4.587
_cell_length_b 4.587
_cell_length_c 4.587
_cell_angle_alpha 130.44
_cell_angle_beta 130.44
_cell_angle_gamma 72.71
_space_group_name_H-M_alt 'P 1'
_space_group_IT_number 1
loop_
_space_group_symop_operation_xyz
'x,y,z'
loop_
_atom_site_label
_atom_site_type_symbol
_atom_site_fract_x
_atom_site_fract_y
_atom_site_fract_z
_atom_site_occupancy
Np1 Np 0.000 0.000 0.000 1
Re1 Re 0.464 0.464 0.000 1
N1 N 0.715 0.715 0.000 1
```

Properties
M_tot: 2.20 μB/f.u.
VASP energy: -10.574 eV/atom
space-group type: I4mm, No. 107

***

Repeat the first record exactly.
This record from Alexandria via LeMat-Bulk describes crystalline Cs4Sm3TiSe8 at its relaxed geometry. The functional is PBE-GGA.

The structure in CIF format:
```
data_Cs4Sm3TiSe8
_chemical_formula_sum 'Cs4 Sm3 Ti1 Se8'
_cell_length_a 9.696
_cell_length_b 9.696
_cell_length_c 9.696
_cell_angle_alpha 52.05
_cell_angle_beta 52.05
_cell_angle_gamma 52.05
_space_group_name_H-M_alt 'P 1'
_space_group_IT_number 1
loop_
_space_group_symop_operation_xyz
'x,y,z'
loop_
_atom_site_label
_atom_site_type_symbol
_atom_site_fract_x
_atom_site_fract_y
_atom_site_fract_z
_atom_site_occupancy
Cs1 Cs 0.000 0.000 0.000 1
Cs2 Cs 0.000 0.500 0.500 1
Cs3 Cs 0.500 0.000 0.500 1
Cs4 Cs 0.500 0.500 0.000 1
Sm1 Sm 0.000 0.000 0.500 1
Sm2 Sm 0.000 0.500 0.000 1
Sm3 Sm 0.500 0.000 0.000 1
Ti1 Ti 0.500 0.500 0.500 1
Se1 Se 0.231 0.231 0.231 1
Se2 Se 0.249 0.716 0.716 1
Se3 Se 0.284 0.284 0.751 1
Se4 Se 0.284 0.751 0.284 1
Se5 Se 0.716 0.249 0.716 1
Se6 Se 0.716 0.716 0.249 1
Se7 Se 0.751 0.284 0.284 1
Se8 Se 0.769 0.769 0.769 1
```

Properties
M_tot: 1.00 μB/f.u.
VASP energy: -4.876 eV/atom
space-group type: R-3m, No. 166

***

> Number 10 is which compound?

NpReN

***

> Look up the M_tot of the fourth one.

0.00 μB/f.u.

***

> Which value of M_tot does entry 7 give?

3.29 μB/f.u.